# 1
Below is AgHg2AsBr after structural relaxation, with properties calculated at the PBE-GGA level.

a = 5.361 Å, b = 5.361 Å, c = 5.025 Å
α = 90.00°, β = 90.00°, γ = 90.00°
Atoms (fractional coordinates):
Ag: 0.000 0.000 0.500
Hg: 0.000 0.500 0.000
Hg: 0.500 0.000 0.000
Br: 0.500 0.500 0.500
As: 0.000 0.000 0.000

Values from the calculation:
Its density of states at the Fermi level is 0.367 states/eV per atom. The formation energy from raw total energies comes out at 0.00 eV per atom. Its space-group type is P4/mmm (123). The size of the total moment comes out at 0.00 μB/cell. As for the final energy: -1.9589 eV per atom.


# 2
Below is AgAs2IBr after structural relaxation, with properties calculated at the PBE-GGA level.

a = 5.209 Å, b = 5.209 Å, c = 5.151 Å
α = 90.00°, β = 90.00°, γ = 90.00°
Last column: magnetic moment on the atom in μB.
Atoms (fractional coordinates):
Ag: 0.000 0.000 0.000  0.02
As: 0.500 0.000 0.000  0.23
As: 0.000 0.500 0.000  0.23
I: 0.500 0.500 0.500  -0.02
Br: 0.000 0.000 0.500  0.03

Values from the calculation:
Its density of states at the Fermi level is 0.838 states/eV per atom. The formation energy from raw total energies comes out at 0.64 eV per atom. The value obtained for the relative energy among the computed polymorphs is 0.000 eV per atom. Its space-group type is P4/mmm (123). The size of the total moment comes out at 1.02 μB/cell. As for the final energy: -2.4335 eV per atom.


# 3
Below is AgAsIBr2 after structural relaxation, with properties calculated at the PBE-GGA level.

a = 5.087 Å, b = 5.087 Å, c = 5.675 Å
α = 90.00°, β = 90.00°, γ = 90.00°
Atoms (fractional coordinates):
As: 0.000 0.000 0.500
I: 0.500 0.500 0.500
Br: 0.500 0.000 0.000
Br: 0.000 0.500 0.000
Ag: 0.000 0.000 0.000

Values from the calculation:
Its density of states at the Fermi level is 0.881 states/eV per atom. The formation energy from raw total energies comes out at 0.38 eV per atom. The value obtained for the relative energy among the computed polymorphs is 0.000 eV per atom. Its space-group type is P4/mmm (123). The size of the total moment comes out at 0.00 μB/cell. As for the final energy: -2.0981 eV per atom.


# 4
Below is AgAs2IrBr after structural relaxation, with properties calculated at the PBE-GGA level.

a = 4.740 Å, b = 4.740 Å, c = 5.600 Å
α = 90.00°, β = 90.00°, γ = 90.00°
Atoms (fractional coordinates):
Ag: 0.500 0.500 0.500
As: 0.000 0.500 0.000
As: 0.500 0.000 0.000
Br: 0.000 0.000 0.500
Ir: 0.000 0.000 0.000

Values from the calculation:
Its density of states at the Fermi level is 0.651 states/eV per atom. The formation energy from raw total energies comes out at 0.52 eV per atom. The value obtained for the relative energy among the computed polymorphs is 0.000 eV per atom. Its space-group type is P4/mmm (123). The size of the total moment comes out at 0.00 μB/cell. As for the final energy: -4.0173 eV per atom.